[1]
## Li2PmZn3 (PBE)

Data for crystalline Li2PmZn3 at its relaxed geometry.

Crystal system: orthorhombic

a = 4.953 Å, b = 6.763 Å, c = 6.763 Å
α = 96.08°, β = 90.00°, γ = 90.00°
Atoms (fractional coordinates):
Li 0.500 0.773 0.227
Li 0.000 0.773 0.227
Li 0.000 0.227 0.773
Li 0.500 0.227 0.773
Pm 0.250 0.299 0.299
Pm 0.750 0.701 0.701
Zn 0.750 0.451 0.076
Zn 0.750 0.076 0.451
Zn 0.250 0.549 0.924
Zn 0.750 0.063 0.063
Zn 0.250 0.937 0.937
Zn 0.250 0.924 0.549

---

[2]
## Li4PmZn12 (PBE)

Data for crystalline Li4PmZn12 at its relaxed geometry.

Crystal system: cubic

a = 7.488 Å, b = 7.488 Å, c = 7.488 Å
α = 109.47°, β = 109.47°, γ = 109.47°
Atoms (fractional coordinates):
Li 0.000 0.500 0.000
Li 0.500 0.000 0.000
Li 0.500 0.500 0.500
Li 0.000 0.000 0.500
Pm 0.000 0.000 0.000
Zn 0.850 0.354 0.204
Zn 0.354 0.504 0.150
Zn 0.796 0.150 0.646
Zn 0.354 0.204 0.850
Zn 0.204 0.850 0.354
Zn 0.646 0.496 0.850
Zn 0.504 0.150 0.354
Zn 0.496 0.850 0.646
Zn 0.646 0.796 0.150
Zn 0.850 0.646 0.496
Zn 0.150 0.354 0.504
Zn 0.150 0.646 0.796

---

[3]
## LiPm2Zn3 (PBE)

Data for crystalline LiPm2Zn3 at its relaxed geometry.

Crystal system: orthorhombic

a = 5.790 Å, b = 5.790 Å, c = 8.809 Å
α = 102.74°, β = 102.74°, γ = 109.20°
Atoms (fractional coordinates):
Li 0.667 0.667 0.334
Li 0.333 0.333 0.666
Pm 0.250 0.750 0.500
Pm 0.752 0.752 0.000
Pm 0.750 0.250 0.500
Pm 0.248 0.248 0.000
Zn 0.332 0.834 0.166
Zn 0.166 0.668 0.834
Zn 0.668 0.166 0.834
Zn 0.834 0.332 0.166
Zn 0.166 0.166 0.332
Zn 0.834 0.834 0.668

---

[4]
## Li3PmZn3 (PBE)

Data for crystalline Li3PmZn3 at its relaxed geometry.

Crystal system: cubic

a = 6.605 Å, b = 6.605 Å, c = 6.605 Å
α = 90.00°, β = 90.00°, γ = 90.00°
Atoms (fractional coordinates):
Zn 0.250 0.000 0.500
Zn 0.000 0.500 0.250
Zn 0.500 0.750 0.000
Zn 0.750 0.000 0.500
Zn 0.000 0.500 0.750
Zn 0.500 0.250 0.000
Li 0.000 0.250 0.500
Li 0.000 0.750 0.500
Li 0.500 0.000 0.750
Li 0.750 0.500 0.000
Li 0.500 0.000 0.250
Li 0.250 0.500 0.000
Pm 0.500 0.500 0.500
Pm 0.000 0.000 0.000

---

[5]
## LiPm2Zn16 (PBE)

Data for crystalline LiPm2Zn16 at its relaxed geometry.

Crystal system: trigonal

a = 6.834 Å, b = 6.834 Å, c = 6.834 Å
α = 82.83°, β = 82.83°, γ = 82.83°
Atoms (fractional coordinates):
Li 0.906 0.906 0.906
Pm 0.663 0.663 0.663
Pm 0.338 0.338 0.338
Zn 0.707 0.999 0.291
Zn 0.999 0.291 0.707
Zn 0.291 0.707 0.999
Zn 0.999 0.707 0.291
Zn 0.707 0.291 0.999
Zn 0.291 0.999 0.707
Zn 0.352 0.836 0.352
Zn 0.836 0.352 0.352
Zn 0.352 0.352 0.836
Zn 0.649 0.157 0.649
Zn 0.157 0.649 0.649
Zn 0.649 0.649 0.157
Zn 0.998 0.502 0.998
Zn 0.502 0.998 0.998
Zn 0.998 0.998 0.502
Zn 0.104 0.104 0.104

---

[6]
## LiPm2Zn5 (PBE)

Data for crystalline LiPm2Zn5 at its relaxed geometry.

Distance to the lowest polymorph of the same formula (eV/atom): 0.053
Crystal system: tetragonal

a = 4.712 Å, b = 4.712 Å, c = 7.828 Å
α = 107.51°, β = 107.51°, γ = 90.00°
Atoms (fractional coordinates):
Li 0.000 0.000 0.000
Pm 0.739 0.739 0.479
Pm 0.261 0.261 0.521
Zn 0.500 0.500 0.000
Zn 0.900 0.400 0.801
Zn 0.400 0.900 0.801
Zn 0.100 0.600 0.199
Zn 0.600 0.100 0.199

---

[7]
## LiPmZn11 (PBE)

Data for crystalline LiPmZn11 at its relaxed geometry.

Crystal system: monoclinic

a = 5.238 Å, b = 6.830 Å, c = 6.803 Å
α = 81.58°, β = 67.36°, γ = 67.64°
Atoms (fractional coordinates):
Li 0.500 0.500 0.000
Pm 0.000 0.000 0.000
Zn 0.282 0.223 0.219
Zn 0.718 0.777 0.781
Zn 0.499 0.777 0.219
Zn 0.501 0.223 0.781
Zn 0.362 0.645 0.647
Zn 0.638 0.355 0.353
Zn 0.990 0.355 0.647
Zn 0.010 0.645 0.353
Zn 0.000 0.500 0.000
Zn 0.500 0.000 0.500
Zn 0.000 0.000 0.500

---

[8]
## LiPmZrZn (PBE)

Data for crystalline LiPmZrZn at its relaxed geometry.

Crystal system: cubic

a = 4.970 Å, b = 4.970 Å, c = 4.970 Å
α = 60.00°, β = 60.00°, γ = 60.00°
Atoms (fractional coordinates):
Zn 0.000 0.000 0.000
Li 0.500 0.500 0.500
Zr 0.250 0.250 0.250
Pm 0.750 0.750 0.750

---

[9]
## LiPm2Zr (PBE)

Data for crystalline LiPm2Zr at its relaxed geometry.

Distance to the lowest polymorph of the same formula (eV/atom): 0.027
Crystal system: trigonal

a = 3.431 Å, b = 3.431 Å, c = 11.328 Å
α = 81.29°, β = 81.29°, γ = 60.00°
Atoms (fractional coordinates):
Li 0.000 0.000 0.000
Zr 0.500 0.500 0.500
Pm 0.753 0.753 0.740
Pm 0.247 0.247 0.260

---

[10]
## LiPmZr (PBE)

Data for crystalline LiPmZr at its relaxed geometry.

Distance to the lowest polymorph of the same formula (eV/atom): 0.182
Crystal system: trigonal

a = 3.199 Å, b = 5.173 Å, c = 5.173 Å
α = 120.00°, β = 90.00°, γ = 90.00°
Atoms (fractional coordinates):
Li 0.031 0.000 0.000
Zr 0.252 0.333 0.667
Pm 0.717 0.667 0.333

---

[11]
## LiPm2Zr (PBE)

Data for crystalline LiPm2Zr at its relaxed geometry.

Distance to the lowest polymorph of the same formula (eV/atom): 0.031
Crystal system: monoclinic

a = 3.430 Å, b = 3.430 Å, c = 11.388 Å
α = 81.27°, β = 81.27°, γ = 59.95°
Atoms (fractional coordinates):
Li 0.500 0.500 0.500
Pm 0.080 0.080 0.761
Pm 0.254 0.254 0.239
Zr 0.667 0.667 0.000

---

[12]
## LiPm2Zr (PBE)

Data for crystalline LiPm2Zr at its relaxed geometry.

Distance to the lowest polymorph of the same formula (eV/atom): 0.000
Crystal system: tetragonal

a = 3.461 Å, b = 3.461 Å, c = 9.363 Å
α = 90.00°, β = 90.00°, γ = 90.00°
Atoms (fractional coordinates):
Li 0.500 0.500 0.000
Zr 0.500 0.500 0.500
Pm 0.000 0.000 0.746
Pm 0.000 0.000 0.254

---

Number 1: energy -2.248 eV per atom, DFT formation energy -1.09 eV/f.u.. Number 2: energy -1.467 eV per atom, DFT formation energy 2.75 eV/f.u.. Number 3: energy -2.785 eV per atom, DFT formation energy -1.47 eV/f.u.. Number 4: energy -1.853 eV per atom, DFT formation energy 1.35 eV/f.u.. Number 5: energy -1.939 eV per atom, DFT formation energy -5.04 eV/f.u.. Number 6: energy -2.406 eV per atom, DFT formation energy -1.46 eV/f.u.. Number 7: energy -1.793 eV per atom, DFT formation energy -2.63 eV/f.u.. Number 8: energy -4.107 eV per atom, DFT formation energy 0.06 eV/f.u.. Number 9: energy -4.865 eV per atom, DFT formation energy 0.50 eV/f.u.. Number 10: energy -4.758 eV per atom, DFT formation energy 0.94 eV/f.u.. Number 11: energy -4.861 eV per atom, DFT formation energy 0.52 eV/f.u.. Number 12: energy -4.892 eV per atom, DFT formation energy 0.40 eV/f.u..